one.
Computed, not measured: a relaxed CdOsSe crystal at the PBEsol level of DFT.

Structure (POSCAR):
```
CdOsSe
1.0
3.097 0.000 0.000
-1.548 2.682 0.000
0.000 0.000 6.440
Cd Os Se
1 1 1
Direct
0.000 0.000 0.000
0.333 0.667 0.658
0.667 0.333 0.400
```

Properties
Magnetic moment ... 0.00 μB/f.u.
DOS(E_F) ... 0.589 states/eV per atom

---

two.
Computed, not measured: a relaxed CdOsSe crystal at the PBEsol level of DFT.

Structure (POSCAR):
```
CdOsSe
1.0
6.152 0.000 0.000
0.000 6.152 0.000
0.000 0.000 6.152
Cd Os Se
4 4 4
Direct
0.000 0.000 0.000
0.000 0.500 0.500
0.500 0.000 0.500
0.500 0.500 0.000
0.250 0.250 0.750
0.250 0.750 0.250
0.750 0.250 0.250
0.750 0.750 0.750
0.000 0.000 0.500
0.000 0.500 0.000
0.500 0.000 0.000
0.500 0.500 0.500
```

Properties
Magnetic moment ... 0.00 μB/f.u.
DOS(E_F) ... 1.190 states/eV per atom

---

Energies in kJ/mol of atoms, measured from the most stable structure: one 0.0; two 44.7.

---

one.
Computed, not measured: a relaxed CdOs2Se crystal at the PBEsol level of DFT.

Structure (POSCAR):
```
CdOs2Se
1.0
6.358 0.000 0.000
0.000 6.358 0.000
0.000 0.000 6.358
Cd Os Se
4 8 4
Direct
0.000 0.000 0.000
0.000 0.500 0.500
0.500 0.000 0.500
0.500 0.500 0.000
0.000 0.000 0.500
0.000 0.500 0.000
0.250 0.250 0.250
0.250 0.750 0.750
0.500 0.000 0.000
0.500 0.500 0.500
0.750 0.250 0.750
0.750 0.750 0.250
0.250 0.250 0.750
0.250 0.750 0.250
0.750 0.250 0.250
0.750 0.750 0.750
```

Properties
Magnetic moment ... 0.00 μB/f.u.
DOS(E_F) ... 1.301 states/eV per atom

---

two.
Computed, not measured: a relaxed CdOs2Se crystal at the PBEsol level of DFT.

Structure (POSCAR):
```
CdOs2Se
1.0
2.871 0.000 0.000
0.000 2.871 0.000
0.000 0.000 8.162
Cd Os Se
1 2 1
Direct
0.000 0.000 0.000
0.000 0.000 0.454
0.500 0.500 0.249
0.500 0.500 0.668
```

Properties
Magnetic moment ... 0.00 μB/f.u.
DOS(E_F) ... 0.768 states/eV per atom

---

Energies in kJ/mol of atoms, measured from the most stable structure: one 63.4; two 0.0.

---

one.
Computed, not measured: a relaxed TlCdOs crystal at the PBEsol level of DFT.

Structure (POSCAR):
```
TlCdOs
1.0
2.858 0.000 0.000
0.000 4.225 0.000
0.000 0.000 9.189
Tl Cd Os
2 2 2
Direct
0.000 0.000 0.000
0.500 0.500 0.500
0.000 0.000 0.683
0.500 0.500 0.183
0.000 0.000 0.334
0.500 0.500 0.834
```

Properties
Magnetic moment ... 0.00 μB/f.u.
DOS(E_F) ... 0.734 states/eV per atom

---

two.
Computed, not measured: a relaxed TlCdOs crystal at the PBEsol level of DFT.

Structure (POSCAR):
```
TlCdOs
1.0
2.935 0.000 0.000
0.000 4.918 0.000
0.000 0.000 16.663
Tl Cd Os
4 4 4
Direct
0.000 0.000 0.000
0.000 0.500 0.500
0.500 0.000 0.500
0.500 0.500 0.000
0.000 0.000 0.296
0.000 0.500 0.796
0.500 0.000 0.796
0.500 0.500 0.296
0.000 0.000 0.652
0.000 0.500 0.152
0.500 0.000 0.152
0.500 0.500 0.652
```

Properties
Magnetic moment ... 0.01 μB/f.u.
DOS(E_F) ... 0.950 states/eV per atom

---

Energies in kJ/mol of atoms, measured from the most stable structure: one 1.3; two 0.0.

---

one.
Computed, not measured: a relaxed Tl2CdOs crystal at the PBEsol level of DFT.

Structure (POSCAR):
```
Tl2CdOs
1.0
3.080 0.000 0.000
0.000 3.080 0.000
0.000 0.000 9.007
Tl Cd Os
2 1 1
Direct
0.000 0.000 0.000
0.500 0.500 0.312
0.000 0.000 0.595
0.500 0.500 0.791
```

Properties
Magnetic moment ... 0.00 μB/f.u.
DOS(E_F) ... 0.905 states/eV per atom

---

two.
Computed, not measured: a relaxed Tl2CdOs crystal at the PBEsol level of DFT.

Structure (POSCAR):
```
Tl2CdOs
1.0
4.167 0.000 0.000
0.000 4.167 0.000
0.000 0.000 8.976
Tl Cd Os
4 2 2
Direct
0.000 0.000 0.000
0.000 0.500 0.250
0.500 0.000 0.750
0.500 0.500 0.500
0.000 0.000 0.500
0.500 0.500 0.000
0.000 0.500 0.750
0.500 0.000 0.250
```

Properties
Magnetic moment ... 0.00 μB/f.u.
DOS(E_F) ... 0.438 states/eV per atom

---

Energies in kJ/mol of atoms, measured from the most stable structure: one 0.0; two 10.2.

---

one.
Computed, not measured: a relaxed Cd2OsW crystal at the PBEsol level of DFT.

Structure (POSCAR):
```
Cd2OsW
1.0
2.806 0.000 0.000
0.000 4.520 0.000
0.000 0.000 5.302
Cd Os W
2 1 1
Direct
0.000 0.000 0.249
0.000 0.000 0.751
0.500 0.500 0.000
0.500 0.500 0.500
```

Properties
Magnetic moment ... 0.01 μB/f.u.
DOS(E_F) ... 1.063 states/eV per atom

---

two.
Computed, not measured: a relaxed Cd2OsW crystal at the PBEsol level of DFT.

Structure (POSCAR):
```
Cd2OsW
1.0
2.977 0.000 0.000
0.000 4.694 0.000
0.000 0.000 9.835
Cd Os W
4 2 2
Direct
0.000 0.000 0.000
0.000 0.500 0.275
0.500 0.000 0.275
0.500 0.500 0.000
0.000 0.000 0.529
0.500 0.500 0.529
0.000 0.500 0.742
0.500 0.000 0.742
```

Properties
Magnetic moment ... 0.00 μB/f.u.
DOS(E_F) ... 0.656 states/eV per atom

---

Energies in kJ/mol of atoms, measured from the most stable structure: one 36.7; two 0.0.

---

one.
Computed, not measured: a relaxed Cd2OsW crystal at the PBEsol level of DFT.

Structure (POSCAR):
```
Cd2OsW
1.0
5.429 0.000 0.000
0.000 9.637 0.000
-0.979 0.000 2.556
Cd Os W
4 2 2
Direct
0.250 0.250 0.000
0.250 0.750 0.000
0.750 0.250 0.000
0.750 0.750 0.000
0.000 0.000 0.500
0.500 0.500 0.500
0.000 0.500 0.500
0.500 0.000 0.500
```

Properties
Magnetic moment ... 0.00 μB/f.u.
DOS(E_F) ... 0.825 states/eV per atom

---

two.
Computed, not measured: a relaxed Cd2OsW crystal at the PBEsol level of DFT.

Structure (POSCAR):
```
Cd2OsW
1.0
6.406 0.000 0.000
0.000 6.406 0.000
0.000 0.000 6.406
Cd Os W
8 4 4
Direct
0.250 0.250 0.250
0.250 0.250 0.750
0.250 0.750 0.250
0.250 0.750 0.750
0.750 0.250 0.250
0.750 0.250 0.750
0.750 0.750 0.250
0.750 0.750 0.750
0.000 0.000 0.000
0.000 0.500 0.500
0.500 0.000 0.500
0.500 0.500 0.000
0.000 0.000 0.500
0.000 0.500 0.000
0.500 0.000 0.000
0.500 0.500 0.500
```

Properties
Magnetic moment ... 0.00 μB/f.u.
DOS(E_F) ... 0.659 states/eV per atom

---

Energies in kJ/mol of atoms, measured from the most stable structure: one 0.0; two 34.8.